Arrangement 1

A plane-wave DFT calculation with GGA-PBE was carried out for crystalline HfBeAl at its relaxed geometry.

```
HfBeAl
1.0
-2.535 -3.377 -0.541
-4.133 0.556 -0.855
-1.517 -0.925 -3.869
Be Hf Al
1 1 1
direct
0.250 0.250 0.250
0.750 0.750 0.750
0.000 0.000 0.000
```

Properties
SG: No. 216
Magnetic moment, Bohr magnetons per cell: 0.001
Mass density, g/cm3: 6.53

Arrangement 2

A plane-wave DFT calculation with GGA-PBE was carried out for crystalline HfBeAl at its relaxed geometry.

```
HfBeAl
1.0
-2.805 -2.694 2.010
-2.112 1.326 3.598
-4.300 0.804 -0.157
Be Hf Al
1 1 1
direct
0.750 0.750 0.750
0.000 0.000 0.000
0.250 0.250 0.250
```

Properties
SG: No. 216
Magnetic moment, Bohr magnetons per cell: 0.006
Mass density, g/cm3: 6.00

Ranking the structures above by stability puts arrangement 1 first and arrangement 2 last.